Below is a crystal of TlInBr2 relaxed with PBEsol, with properties calculated at the SCAN level.

Properties
For the mass density, the calculation gives 6.442 g/cm3. Its space group is Amm2, No. 38. The uncorrected formation energy comes out at -797 meV/atom. The density of states at the Fermi level is 0.0000 states/eV/atom. The value obtained for the distance to the lowest polymorph of the same formula is 0 meV/atom.

a = 4.4120 Å, b = 4.6119 Å, c = 6.4571 Å
α = 90.05°, β = 109.98°, γ = 90.00°
Last column: nearest neighbours and their distance in Å.
Element x y z (fractional)
Tl1 0.7236 0.8748 0.4472  5 Br 3.18-3.26, 2 In 3.43
Br1 0.9857 0.8753 0.9715  1 Tl 3.18, 4 In 3.21
Br2 0.2764 0.3747 0.5528  1 In 2.89
In1 0.5143 0.3752 0.0286  5 Br 2.89-3.21